Arrangement A

Compound: Nd2SmY
Source: Alexandria via LeMat-Bulk
Functional: PBE
Structure: optimized geometry Values from VASP.

Cell and atoms, written as Quantum ESPRESSO input:
```
&SYSTEM
  ibrav = 0, nat = 8, ntyp = 3
/
ATOMIC_SPECIES
Nd 144.24 Nd.upf
Y 88.91 Y.upf
Sm 150.36 Sm.upf
CELL_PARAMETERS angstrom
-0.803 -5.766 0.622
5.274 -1.273 -4.995
1.761 0.525 7.142
ATOMIC_POSITIONS crystal
Nd 0.750 0.585 0.918
Nd 0.750 0.082 0.415
Y 0.250 0.416 0.584
Nd 0.250 0.415 0.082
Sm 0.250 0.917 0.083
Nd 0.250 0.918 0.585
Y 0.750 0.584 0.416
Sm 0.750 0.083 0.917
```

Arrangement B

Compound: Nd2SmY
Source: Alexandria via LeMat-Bulk
Functional: PBE
Structure: optimized geometry Values from VASP.

Cell and atoms, written as Quantum ESPRESSO input:
```
&SYSTEM
  ibrav = 0, nat = 4, ntyp = 3
/
ATOMIC_SPECIES
Y 88.91 Y.upf
Sm 150.36 Sm.upf
Nd 144.24 Nd.upf
CELL_PARAMETERS angstrom
5.788 0.000 0.000
2.894 5.013 0.000
2.894 1.671 4.726
ATOMIC_POSITIONS crystal
Y 0.500 0.500 0.500
Sm 0.000 0.000 0.000
Nd 0.250 0.250 0.250
Nd 0.750 0.750 0.750
```

Which of them is most stable? Easy: arrangement A.

Arrangement A

Compound: Nd2SmY
Source: Alexandria via LeMat-Bulk
Functional: PBE
Structure: optimized geometry Values from VASP.

Cell and atoms, written as Quantum ESPRESSO input:
```
&SYSTEM
  ibrav = 0, nat = 4, ntyp = 3
/
ATOMIC_SPECIES
Y 88.91 Y.upf
Sm 150.36 Sm.upf
Nd 144.24 Nd.upf
CELL_PARAMETERS angstrom
3.657 0.001 0.000
1.829 3.167 0.000
1.829 1.056 11.812
ATOMIC_POSITIONS crystal
Y 0.667 0.667 0.999
Sm 0.499 0.499 0.501
Nd 0.251 0.251 0.249
Nd 0.083 0.083 0.751
```

Arrangement B

Compound: Nd2SmY
Source: Alexandria via LeMat-Bulk
Functional: PBE
Structure: optimized geometry Values from VASP.

Cell and atoms, written as Quantum ESPRESSO input:
```
&SYSTEM
  ibrav = 0, nat = 4, ntyp = 3
/
ATOMIC_SPECIES
Nd 144.24 Nd.upf
Sm 150.36 Sm.upf
Y 88.91 Y.upf
CELL_PARAMETERS angstrom
3.593 0.000 0.000
0.000 5.683 0.000
-1.796 0.000 6.710
ATOMIC_POSITIONS crystal
Nd 0.187 0.000 0.374
Sm 0.805 0.500 0.610
Nd 0.062 0.500 0.124
Y 0.446 0.000 0.892
```

Which of them is most stable? Easy: arrangement A.

Arrangement A

Compound: Nd2SmY
Source: Alexandria via LeMat-Bulk
Functional: PBE
Structure: optimized geometry Values from VASP.

Cell and atoms, written as Quantum ESPRESSO input:
```
&SYSTEM
  ibrav = 0, nat = 4, ntyp = 3
/
ATOMIC_SPECIES
Nd 144.24 Nd.upf
Y 88.91 Y.upf
Sm 150.36 Sm.upf
CELL_PARAMETERS angstrom
-3.620 -0.422 -0.069
-1.441 -3.237 -0.853
-1.548 -4.294 11.122
ATOMIC_POSITIONS crystal
Nd 0.751 0.751 0.748
Y 0.500 0.500 0.500
Nd 0.249 0.249 0.252
Sm 0.000 0.000 0.000
```

Arrangement B

Compound: Nd2SmY
Source: Alexandria via LeMat-Bulk
Functional: PBE
Structure: optimized geometry Values from VASP.

Cell and atoms, written as Quantum ESPRESSO input:
```
&SYSTEM
  ibrav = 0, nat = 4, ntyp = 3
/
ATOMIC_SPECIES
Sm 150.36 Sm.upf
Y 88.91 Y.upf
Nd 144.24 Nd.upf
CELL_PARAMETERS angstrom
-2.021 -2.882 -0.932
2.982 -2.091 0.000
-1.514 -2.159 9.961
ATOMIC_POSITIONS crystal
Sm 0.500 0.500 0.500
Y 0.500 0.500 0.000
Nd 0.000 0.000 0.249
Nd 0.000 0.000 0.751
```

Which of them is most stable? Easy: arrangement A.

Arrangement A

Compound: NdSm3Y3
Source: Alexandria via LeMat-Bulk
Functional: PBE
Structure: optimized geometry Values from VASP.

Cell and atoms, written as Quantum ESPRESSO input:
```
&SYSTEM
  ibrav = 0, nat = 7, ntyp = 3
/
ATOMIC_SPECIES
Nd 144.24 Nd.upf
Sm 150.36 Sm.upf
Y 88.91 Y.upf
CELL_PARAMETERS angstrom
-6.217 3.482 1.006
-0.996 -6.484 -0.872
4.026 0.728 5.201
ATOMIC_POSITIONS crystal
Nd 0.494 0.000 0.000
Sm 0.019 0.559 0.559
Sm 0.460 0.000 0.441
Y 0.971 0.370 0.000
Y 0.601 0.630 0.630
Y 0.971 0.000 0.370
Sm 0.460 0.441 0.000
```

Arrangement B

Compound: NdSm3Y3
Source: Alexandria via LeMat-Bulk
Functional: PBE
Structure: optimized geometry Values from VASP.

Cell and atoms, written as Quantum ESPRESSO input:
```
&SYSTEM
  ibrav = 0, nat = 14, ntyp = 3
/
ATOMIC_SPECIES
Nd 144.24 Nd.upf
Y 88.91 Y.upf
Sm 150.36 Sm.upf
CELL_PARAMETERS angstrom
5.957 0.000 1.914
2.671 5.325 1.914
-1.478 -0.912 14.825
ATOMIC_POSITIONS crystal
Nd 0.333 0.333 0.000
Y 0.400 0.066 0.800
Nd 0.667 0.667 0.000
Y 0.267 0.600 0.200
Sm 0.867 0.536 0.397
Sm 0.801 0.133 0.603
Y 0.733 0.400 0.800
Sm 0.199 0.867 0.397
Y 0.600 0.934 0.200
Y 0.066 0.733 0.800
Y 0.934 0.267 0.200
Sm 0.536 0.199 0.397
Sm 0.464 0.801 0.603
Sm 0.133 0.464 0.603
```

Which of them is most stable? Easy: arrangement B.